# 1
DFT (SCAN) results for a crystal of LaGaCo2Au relaxed with PBEsol. Values from VASP.

Geometry as Quantum ESPRESSO input:
```
&SYSTEM
  ibrav = 0, nat = 5, ntyp = 4
/
ATOMIC_SPECIES
Co 58.93 Co.upf
Au 196.97 Au.upf
Ga 69.72 Ga.upf
La 138.91 La.upf
CELL_PARAMETERS angstrom
4.400 0.000 0.000
0.000 4.400 0.000
0.000 0.000 5.492
ATOMIC_POSITIONS angstrom
Co 0.000 2.200 0.000
Co 2.200 0.000 0.000
Au 2.200 2.200 2.746
Ga 0.000 0.000 0.000
La 0.000 0.000 2.746
```

Summary:
ΔE_f	412	meV per atom
M_tot	0.699	μB per atom
calculated total energy	-1.18449	hartree per atom
N(E_F)	2.6	states/eV/cell


# 2
DFT (SCAN) results for a crystal of RbNa2Hg2 relaxed with PBEsol. Values from VASP.

Geometry as Quantum ESPRESSO input:
```
&SYSTEM
  ibrav = 0, nat = 10, ntyp = 3
/
ATOMIC_SPECIES
Na 22.99 Na.upf
Hg 200.59 Hg.upf
Rb 85.47 Rb.upf
CELL_PARAMETERS angstrom
-1.556 1.565 -3.083
-8.254 -1.763 3.270
-0.083 8.054 4.131
ATOMIC_POSITIONS angstrom
Na -2.217 5.864 1.765
Na -6.358 6.310 4.081
Na -7.677 1.992 2.554
Na -3.536 1.546 0.238
Hg -3.240 6.440 4.905
Hg -7.345 3.407 5.436
Hg -5.098 -0.149 2.496
Hg -0.993 2.884 1.965
Rb 0.000 0.000 0.000
Rb -4.169 3.145 3.701
```

Summary:
ΔE_f	-226	meV per atom
ΔE to the lowest computed polymorph	33	meV/atom
M_tot	0.000	μB per atom
calculated total energy	-1.22470	hartree per atom
N(E_F)	5.8	states/eV/cell


# 3
DFT (SCAN) results for a crystal of Rb3I2Br relaxed with PBEsol. Values from VASP.

Geometry as Quantum ESPRESSO input:
```
&SYSTEM
  ibrav = 0, nat = 6, ntyp = 3
/
ATOMIC_SPECIES
I 126.90 I.upf
Br 79.90 Br.upf
Rb 85.47 Rb.upf
CELL_PARAMETERS angstrom
-0.404 -4.622 1.854
1.824 -2.712 -6.364
6.635 3.839 4.287
ATOMIC_POSITIONS angstrom
I 2.296 -2.252 1.618
I 5.759 -1.242 -1.841
Br 0.912 -1.356 -3.182
Rb 5.061 0.119 1.400
Rb 0.000 0.000 0.000
Rb 2.994 -3.613 -1.623
```

Summary:
M_tot	0.000	μB per atom
formation energy (no corrections)	-1.752	eV/atom
calculated total energy	-1.01474	hartree per atom
N(E_F)	0.0	states/eV/cell


# 4
DFT (SCAN) results for a crystal of KZn3 relaxed with PBEsol. Values from VASP.

Geometry as Quantum ESPRESSO input:
```
&SYSTEM
  ibrav = 0, nat = 4, ntyp = 2
/
ATOMIC_SPECIES
K 39.10 K.upf
Zn 65.41 Zn.upf
CELL_PARAMETERS angstrom
3.948 0.000 0.000
-1.974 3.419 0.000
0.000 0.000 7.695
ATOMIC_POSITIONS angstrom
K 0.000 0.000 0.000
Zn 0.000 0.000 3.848
Zn 0.000 2.279 5.105
Zn 0.000 2.279 2.590
```

Summary:
ΔE_f	289	meV per atom
M_tot	0.000	μB per atom
calculated total energy	-0.43841	hartree per atom
N(E_F)	2.1	states/eV/cell


# 5
DFT (SCAN) results for a crystal of TaReSb2 relaxed with PBEsol. Values from VASP.

Geometry as Quantum ESPRESSO input:
```
&SYSTEM
  ibrav = 0, nat = 4, ntyp = 3
/
ATOMIC_SPECIES
Re 186.21 Re.upf
Sb 121.76 Sb.upf
Ta 180.95 Ta.upf
CELL_PARAMETERS angstrom
3.146 0.002 0.003
-1.172 5.181 -0.002
-1.172 -2.244 4.669
ATOMIC_POSITIONS angstrom
Re 0.401 1.469 2.335
Sb -0.586 2.590 -0.001
Sb -0.586 -1.122 2.335
Ta 1.573 0.001 0.002
```

Summary:
M_tot	0.000	μB per atom
formation energy (no corrections)	0.799	eV/atom
calculated total energy	-1.92019	hartree per atom
N(E_F)	3.4	states/eV/cell


# 6
DFT (SCAN) results for a crystal of NdSiPt relaxed with PBEsol. Values from VASP.

Geometry as Quantum ESPRESSO input:
```
&SYSTEM
  ibrav = 0, nat = 6, ntyp = 3
/
ATOMIC_SPECIES
Si 28.09 Si.upf
Nd 144.24 Nd.upf
Pt 195.08 Pt.upf
CELL_PARAMETERS angstrom
-0.671 0.377 -4.102
4.012 -0.883 -0.737
-3.272 -6.708 2.041
ATOMIC_POSITIONS angstrom
Si 1.745 -1.577 -0.430
Si 0.609 -4.869 -2.670
Nd -0.339 0.175 -2.052
Nd -0.804 -3.494 -0.190
Pt -1.659 -5.567 -2.364
Pt 1.147 -2.528 -2.543
```

Summary:
M_tot	0.000	μB per atom
formation energy (no corrections)	-1.318	eV/atom
calculated total energy	-1.56486	hartree per atom
N(E_F)	4.0	states/eV/cell


# 7
DFT (SCAN) results for a crystal of ZrCrCd relaxed with PBEsol. Values from VASP.

Geometry as Quantum ESPRESSO input:
```
&SYSTEM
  ibrav = 0, nat = 3, ntyp = 3
/
ATOMIC_SPECIES
Cd 112.41 Cd.upf
Cr 52.00 Cr.upf
Zr 91.22 Zr.upf
CELL_PARAMETERS angstrom
-0.789 0.530 2.977
-2.249 -2.160 -0.211
5.183 -3.165 0.297
ATOMIC_POSITIONS angstrom
Cd 0.098 -0.107 0.045
Cr -0.285 -2.155 1.949
Zr 2.332 -2.533 1.069
```

Summary:
ΔE_f	13	meV per atom
ΔE to the lowest computed polymorph	0	meV/atom
M_tot	0.925	μB per atom
calculated total energy	-0.97336	hartree per atom
N(E_F)	1.3	states/eV/cell


# 8
DFT (SCAN) results for a crystal of Rb2SnCl6 relaxed with PBEsol. Values from VASP.

Geometry as Quantum ESPRESSO input:
```
&SYSTEM
  ibrav = 0, nat = 9, ntyp = 3
/
ATOMIC_SPECIES
Rb 85.47 Rb.upf
Sn 118.71 Sn.upf
Cl 35.45 Cl.upf
CELL_PARAMETERS angstrom
7.121 0.000 0.000
3.560 6.167 0.000
3.560 2.056 5.814
ATOMIC_POSITIONS angstrom
Rb 10.681 6.167 4.361
Rb 3.560 2.056 1.454
Sn 0.000 0.000 0.000
Cl 5.289 3.053 4.403
Cl 5.289 5.169 1.411
Cl 8.953 3.053 4.403
Cl 8.953 5.169 1.411
Cl 7.121 6.227 4.403
Cl 7.121 1.996 1.411
```

Summary:
M_tot	0.000	μB per atom
formation energy (no corrections)	-1.655	eV/atom
calculated total energy	-0.57233	hartree per atom
N(E_F)	0.0	states/eV/cell


no.,calculated density (Mg/m³)
1,8.17
2,5.69
3,3.60
4,3.76
5,13.32
6,9.79
7,7.67
8,3.27